Record 1
The following is a PBE calculation of a geometry-optimized PmEuGeRh structure, from the Alexandria database.

a b c (Å): 5.0954 5.0954 5.0954
angles (deg): 60.00 60.00 60.00
With the nearest neighbours (Å) after each atom.
Atoms (fractional coordinates):
Pm (0.0000, 0.0000, 0.0000)  4 Ge 3.12, 4 Rh 3.12
Eu (0.5000, 0.5000, 0.5000)  4 Rh 3.12, 4 Ge 3.12
Ge (0.2500, 0.2500, 0.2500)  4 Pm 3.12, 4 Eu 3.12
Rh (0.7500, 0.7500, 0.7500)  4 Eu 3.12, 4 Pm 3.12

Volume, Å³/f.u.: 93.5
ΔH_f (0 K), kJ/mol of formula units: -199
VASP energy, eV/atom: -7.27
SG: F-43m


Record 2
The following is a PBE calculation of a geometry-optimized SrSn3S structure, from the Alexandria database.

a b c (Å): 5.4179 5.4179 5.4179
angles (deg): 90.00 90.00 90.00
With the nearest neighbours (Å) after each atom.
Atoms (fractional coordinates):
Sr (0.0000, 0.0000, 0.0000)  12 Sn 3.83
Sn (0.0000, 0.5000, 0.5000)  2 S 2.71
Sn (0.5000, 0.0000, 0.5000)  2 S 2.71
Sn (0.5000, 0.5000, 0.0000)  2 S 2.71
S (0.5000, 0.5000, 0.5000)  6 Sn 2.71

Volume, Å³/f.u.: 159.0
VASP energy, eV/atom: -3.70
SG: Pm-3m
Raw formation energy, eV/atom: -0.14
Energy relative to the lowest polymorph listed for this composition, meV/atom: 0.0


Record 3
The following is a PBE calculation of a geometry-optimized NbZnCuIr structure, from the Alexandria database.

a b c (Å): 4.6198 4.6198 4.6198
angles (deg): 128.24 128.24 76.23
With the nearest neighbours (Å) after each atom.
Atoms (fractional coordinates):
Nb (0.0000, 0.0000, 0.0000)  4 Cu 2.71, 4 Ir 2.71, 4 Zn 2.85
Zn (0.5000, 0.5000, 0.0000)  4 Cu 2.71, 4 Ir 2.71, 4 Nb 2.85
Cu (0.2500, 0.7500, 0.5000)  4 Nb 2.71, 4 Zn 2.71, 4 Ir 2.85
Ir (0.7500, 0.2500, 0.5000)  4 Nb 2.71, 4 Zn 2.71, 4 Cu 2.85

Volume, Å³/f.u.: 59.1
ΔH_f (0 K), kJ/mol of formula units: -84
VASP energy, eV/atom: -6.29
SG: I-4m2
Energy relative to the lowest polymorph listed for this composition, meV/atom: 0.0


Record 4
The following is a PBE calculation of a geometry-optimized LiDy2P structure, from the Alexandria database.

a b c (Å): 10.1121 10.1121 10.1121
angles (deg): 21.43 21.43 21.43
With the nearest neighbours (Å) after each atom.
Atoms (fractional coordinates):
Li (0.0000, 0.0000, 0.0000)  2 Dy 3.32
Dy (0.1121, 0.1121, 0.1121)  3 P 2.71
Dy (0.8879, 0.8879, 0.8879)  3 P 2.71
P (0.5000, 0.5000, 0.5000)  6 Dy 2.71

Volume, Å³/f.u.: 120.9
ΔH_f (0 K), kJ/mol of formula units: -204
VASP energy, eV/atom: -4.66
SG: R-3m